[1]
Crystalline La2NdN at its relaxed geometry, computed with PBE.

Cell lengths 6.3434, 3.6644, 9.9765 Å; angles 90.00, 102.50, 90.00 degrees
With the nearest neighbours (Å) after each atom.
Positions (direct):
La 0.0318 0.2500 0.3503  3 N 2.56-2.58
La 0.2747 0.2500 0.0123  4 La 3.45-3.66
La 0.7253 0.7500 0.9877  4 La 3.45-3.66
La 0.9682 0.7500 0.6497  3 N 2.56-2.58
Nd 0.4636 0.2500 0.6421  3 N 2.52-2.53
Nd 0.5364 0.7500 0.3579  3 N 2.52-2.53
N 0.2497 0.7500 0.4978  3 Nd 2.52-2.53, 3 La 2.56-2.58
N 0.7503 0.2500 0.5022  3 Nd 2.52-2.53, 3 La 2.56-2.58

Results
SG = No. 11
Energy relative to the lowest polymorph listed for this composition = 0.0 meV/atom
Magnetization = 0.1083 μB per atom
Uncorrected energy = -6.350 eV/atom
Formation energy without anion corrections = -0.6128 eV per atom

---

[2]
Crystalline Cd2SnSCl at its relaxed geometry, computed with PBE.

Cell lengths 5.5487, 5.5487, 5.1792 Å; angles 90.00, 90.00, 90.00 degrees
With the nearest neighbours (Å) after each atom.
Positions (direct):
Cd 0.0000 0.5000 0.0000  2 Sn 2.77
Cd 0.5000 0.0000 0.0000  2 Sn 2.77
Sn 0.0000 0.0000 0.0000  2 Cl 2.59, 4 Cd 2.77
S 0.5000 0.5000 0.5000  8 Cd 3.80, 4 Cl 3.92
Cl 0.0000 0.0000 0.5000  2 Sn 2.59

Results
SG = No. 123
Magnetization = 0.2019 μB per atom
Uncorrected energy = -2.133 eV/atom
Formation energy without anion corrections = 0.2282 eV per atom

---

Question: Look up the uncorrected energy of the second one.
Answer: -2.133 eV/atom

---

Question: Among the records above, which one has the highest formation energy without anion corrections?
Answer: Cd2SnSCl